The following is a DFT calculation (PBE) of crystalline CsLiCrTe3 at its relaxed geometry.

Properties
E_form (uncorrected): -0.612 eV/atom
Final energy: -4.2484 eV/atom
Magnetization: 0.4201 μB per atom

a b c (Å): 9.534 4.099 10.779
angles (deg): 90.00 113.83 90.00
Space group P2_1/m (No. 11)
Unique sites:
Cs (0.029, 0.250, 0.277) x2
Li (0.471, 0.750, 0.393) x2
Cr (0.478, 0.250, 0.155) x2
Te (0.275, 0.750, 0.130) x2
Te (0.327, 0.750, 0.578) x2
Te (0.345, 0.250, 0.876) x2

The following is a DFT calculation (PBE) of crystalline Cs2MgCr at its relaxed geometry.

Properties
Final energy: -2.3242 eV/atom
Magnetization: 1.3234 μB per atom
Calculated formation energy: 0.91 eV per atom

a b c (Å): 8.573 8.573 8.573
angles (deg): 90.00 90.00 90.00
Space group Fm-3m (No. 225)
Unique sites:
Cs (0.250, 0.250, 0.250) x8
Mg (0.000, 0.000, 0.000) x4
Cr (0.000, 0.000, 0.500) x4

The following is a DFT calculation (PBE) of crystalline CsMg3Cr at its relaxed geometry.

Properties
Final energy: -1.4445 eV/atom
Magnetization: 1.0395 μB per atom
Calculated formation energy: 1.61 eV per atom

a b c (Å): 6.885 6.885 6.885
angles (deg): 90.00 90.00 90.00
Space group Pm-3m (No. 221)
Unique sites:
Cs (0.000, 0.000, 0.000) x1
Mg (0.000, 0.000, 0.500) x3
Cr (0.500, 0.500, 0.500) x1

The following is a DFT calculation (PBE) of crystalline CsMg6Cr at its relaxed geometry.

Properties
Final energy: -2.0810 eV/atom
Magnetization: 0.5104 μB per atom
Calculated formation energy: 0.42 eV per atom

a b c (Å): 4.686 8.784 10.231
angles (deg): 90.00 90.00 90.00
Space group Amm2 (No. 38)
Unique sites:
Cs (0.000, 0.000, 0.000) x2
Mg (0.000, 0.250, 0.251) x4
Mg (0.500, 0.000, 0.273) x2
Mg (0.500, 0.000, 0.725) x2
Mg (0.500, 0.206, 0.498) x4
Cr (0.000, 0.000, 0.500) x2